Sr2AsCl | PBE-GGA | relaxed Values from VASP.

Quantum ESPRESSO input file:
```
&SYSTEM
  ibrav = 0, nat = 4, ntyp = 3
/
ATOMIC_SPECIES
Sr 87.62 Sr.upf
As 74.92 As.upf
Cl 35.45 Cl.upf
CELL_PARAMETERS angstrom
4.490 0.000 0.000
0.000 4.490 0.000
0.000 0.000 6.133
ATOMIC_POSITIONS crystal
Sr 0.000 0.000 0.000
Sr 0.500 0.500 0.500
As 0.000 0.000 0.500
Cl 0.500 0.500 0.000
```

## Properties
formation energy (no corrections)	-1637	meV/atom
N(E_F)	0.1	states/eV per cell
final energy	-16.41	eV/cell